Entry 1:
## AlRe2Ag (GGA-PBEsol)

Data for AlRe2Ag after structural relaxation.

Cell lengths 2.760, 4.682, 4.881 Å; angles 97.97, 90.00, 107.14 degrees
Positions (direct):
Ag: 0.501 0.003 0.523
Al: 0.254 0.509 0.734
Re: 0.746 0.492 0.220
Re: 0.998 0.996 0.024

**DOS(E_F)**: 0.643 states/eV per atom
**Formation energy**: 0.23 eV per atom
**Space group**: No. 8



Entry 2:
## AlRe2Ag (GGA-PBEsol)

Data for AlRe2Ag after structural relaxation.

Cell lengths 4.067, 4.578, 4.067 Å; angles 63.63, 90.00, 116.37 degrees
Positions (direct):
Re: 0.000 0.000 0.000
Re: 0.250 0.500 0.250
Ag: 0.500 0.000 0.500
Al: 0.750 0.500 0.750

**DOS(E_F)**: 0.508 states/eV per atom
**Formation energy**: 0.24 eV per atom
**Space group**: No. 119



Entry 3:
## Al2ReAg (GGA-PBEsol)

Data for Al2ReAg after structural relaxation.

Cell lengths 2.728, 4.587, 5.131 Å; angles 99.34, 90.00, 107.30 degrees
Positions (direct):
Al: 0.254 0.507 0.264
Al: 0.746 0.493 0.736
Ag: 0.500 0.000 0.000
Re: 0.000 0.000 0.500

**Relative energy among the computed polymorphs**: 89 meV per atom
**DOS(E_F)**: 0.481 states/eV per atom
**Formation energy**: 0.05 eV per atom
**Space group**: No. 12



Entry 4:
## AlReAg (GGA-PBEsol)

Data for AlReAg after structural relaxation.

Cell lengths 2.790, 2.790, 6.725 Å; angles 90.00, 90.00, 120.00 degrees
Positions (direct):
Re: 0.333 0.667 0.348
Ag: 0.000 0.000 0.991
Al: 0.667 0.333 0.661

**DOS(E_F)**: 0.650 states/eV per atom
**Formation energy**: 0.16 eV per atom
**Space group**: No. 156



Q: Among the records above, which one has the highest DOS(E_F)?
A: AlReAg